A plane-wave DFT calculation with PBE was carried out for an optimized crystal structure of ScTl2Fe.

abc: 4.398 4.398 4.324
angles: 90.00 90.00 90.00
Space group P4/mmm (No. 123)
Symmetry-distinct sites (fractional):
Sc: 0.000 0.000 0.000
Tl: 0.000 0.500 0.500
Fe: 0.500 0.500 0.000

Output
energy above the most stable polymorph in this dataset: 0 meV/atom
formation energy: 0.18 eV per atom
E_tot: -4.701 eV/atom

***

A plane-wave DFT calculation with PBE was carried out for an optimized crystal structure of V12Si6Mo.

abc: 11.6501 11.6501 6.4697
angles: 90.00 90.00 120.00
Space group R-3 (No. 148, hexagonal axes)
Symmetry-distinct sites (fractional):
V: 0.0058 0.1393 0.1604
V: 0.0545 0.5671 0.1799
Si: 0.0230 0.2650 0.8244
Mo: 0.0000 0.0000 0.5000

Output
uncorrected formation energy: -26 kJ per mole of atoms
E_tot: -8.315 eV/atom

***

A plane-wave DFT calculation with PBE was carried out for an optimized crystal structure of Ba3CaIn.

abc: 6.773 6.773 6.773
angles: 90.00 90.00 90.00
Space group Pm-3m (No. 221)
Symmetry-distinct sites (fractional):
Ba: 0.000 0.000 0.500
Ca: 0.500 0.500 0.500
In: 0.000 0.000 0.000

Output
energy above the most stable polymorph in this dataset: 0 meV/atom
formation energy: 0.06 eV per atom
E_tot: -2.042 eV/atom

***

A plane-wave DFT calculation with PBE was carried out for an optimized crystal structure of Mn3SiAg.

abc: 4.835 4.835 4.835
angles: 90.00 90.00 90.00
Space group Pm-3m (No. 221)
Symmetry-distinct sites (fractional):
Mn: 0.000 0.000 0.500
Si: 0.500 0.500 0.500
Ag: 0.000 0.000 0.000

Output
energy above the most stable polymorph in this dataset: 722 meV/atom
uncorrected formation energy: 128 kJ per mole of atoms
E_tot: -5.831 eV/atom

***

A plane-wave DFT calculation with PBE was carried out for an optimized crystal structure of MgTc2P.

abc: 5.539 8.281 2.809
angles: 90.00 115.70 90.00
Space group C2/m (No. 12)
Symmetry-distinct sites (fractional):
Mg: 0.000 0.000 0.000
Tc: 0.250 0.250 0.500
P: 0.000 0.500 0.000

Output
energy above the most stable polymorph in this dataset: 527 meV/atom
formation energy: 0.20 eV per atom
E_tot: -6.737 eV/atom

***

A plane-wave DFT calculation with PBE was carried out for an optimized crystal structure of Ca2ZnNi.

abc: 6.923 6.923 6.923
angles: 90.00 90.00 90.00
Space group F-43m (No. 216)
Symmetry-distinct sites (fractional):
Ca: 0.000 0.000 0.000
Ca: 0.250 0.250 0.250
Zn: 0.250 0.250 0.750
Ni: 0.000 0.000 0.500

Output
formation energy: 0.11 eV per atom
E_tot: -2.659 eV/atom

***

Size of the total moment list, top to bottom, in μB per formula unit: 2.609, 0.000, 0.890, 12.192, 0.000, 0.000